A geometry-optimized SrMnFe structure, computed with GGA-PBE.

Summary:
Electronic total energy: -5.89 eV per atom
Crystal system: hexagonal
Magnetic moment: 1.016 Bohr magnetons per cell
Symmetry: P-6m2 (187)

Cell and atoms, written as POSCAR:
```
SrMnFe
1.0
-1.319 -1.536 -3.314
3.748 0.958 0.340
1.028 -4.640 1.742
Fe Mn Sr
1 1 1
direct
0.000 0.000 0.167 Fe
0.667 0.333 0.167 Mn
0.333 0.667 0.667 Sr
```